First-principles (PBE with a Hubbard U) data for a geometry-optimized Cr2As6O19 structure, as listed in the Alexandria database.

abc: 11.4070 13.3332 5.1405
angles: 90.00 90.00 90.00
Last column: nearest neighbours and their distance in Å.
Space group Pmmn (No. 59, origin choice 2)
Inequivalent atoms, fractional coordinates:
Cr (0.0000, 0.0000, 0.0000)  6 O 1.97-2.00
As (0.1086, 0.1302, 0.4880)  4 O 1.68-1.78
As (0.2500, 0.6344, 0.0568)  4 O 1.72-1.79
O (0.0199, 0.1204, 0.2284)  1 As 1.68
O (0.0866, 0.2500, 0.6338)  2 As 1.78
O (0.1156, 0.0507, 0.7405)  1 As 1.68
O (0.1290, 0.5711, 0.1740)  1 As 1.73
O (0.2500, 0.1377, 0.3440)  2 As 1.78
O (0.2500, 0.6680, 0.7345)  1 As 1.72
O (0.2500, 0.7500, 0.2338)  2 As 1.79

## Properties
D(E_F)	14.8	states/eV per cell
VASP energy	-335.9	eV for the cell shown
total magnetization	12.50	Bohr magnetons per cell